Pa2Ga2Co5Ge: relaxed, PBE.

Calculated values
Calculated total energy, eV per atom: -6.70
Symmetry: P4/mbm
Energy of formation from the pure elements, eV per atom: -0.18
ρ, kg/m³: 10565

Cell: 3.2558 9.6715 9.6715 Å, 90.00 90.00 90.00°
Atoms (fractional coordinates):
Pa  0.0000  0.3257  0.8257
Pa  0.0000  0.1743  0.3257
Pa  0.0000  0.6743  0.1743
Pa  0.0000  0.8257  0.6743
Co  0.5000  0.7107  0.4874
Co  0.5000  0.0126  0.7893
Co  0.5000  0.2893  0.5126
Co  0.5000  0.2107  0.0126
Co  0.5000  0.5000  0.0000
Co  0.5000  0.5126  0.7107
Co  0.5000  0.7893  0.9874
Co  0.5000  0.9874  0.2107
Co  0.5000  0.4874  0.2893
Co  0.5000  0.0000  0.5000
Ge  0.0000  0.0000  0.0000
Ge  0.0000  0.5000  0.5000
Ga  0.0000  0.8758  0.3758
Ga  0.0000  0.3758  0.1242
Ga  0.0000  0.1242  0.6242
Ga  0.0000  0.6242  0.8758

=====

Tm4Bi2SbP: relaxed, PBE.

Calculated values
Uncorrected formation energy, meV/atom: -1008
Calculated total energy, eV per atom: -5.41
Symmetry: P2/m
ρ, kg/m³: 9288

Cell: 4.2467 7.4231 7.4761 Å, 109.00 90.00 90.00°
Atoms (fractional coordinates):
Sb  0.5000  0.5000  0.0000
P  0.0000  0.0000  0.0000
Tm  0.5000  0.2295  0.2257
Tm  0.0000  0.2416  0.7667
Tm  0.5000  0.7705  0.7743
Tm  0.0000  0.7584  0.2333
Bi  0.5000  0.0000  0.5000
Bi  0.0000  0.5000  0.5000

=====

MgZnBr: relaxed, PBE.

Calculated values
Uncorrected formation energy, meV/atom: -369
Calculated total energy, eV per atom: -1.88
Energy relative to the lowest polymorph listed for this composition, meV per atom: 23
Symmetry: P3m1
ρ, kg/m³: 3697

Cell: 3.7861 3.7861 6.1370 Å, 90.00 90.00 120.00°
Atoms (fractional coordinates):
Br  0.0000  0.0000  0.0602
Zn  0.3333  0.6667  0.6106
Mg  0.6667  0.3333  0.3291

=====

AcNiP2: relaxed, PBE.

Calculated values
Calculated total energy, eV per atom: -6.07
Energy relative to the lowest polymorph listed for this composition, meV per atom: 0
Symmetry: I-4m2
Energy of formation from the pure elements, eV per atom: -0.89
ρ, kg/m³: 7250

Cell: 4.1760 4.1757 5.4379 Å, 112.58 112.59 89.99°
Atoms (fractional coordinates):
Ni  0.4713  0.6313  0.7282
P  0.5935  0.2535  0.9731
P  0.8490  0.5088  0.4832
Ac  0.2215  0.8810  0.2282

=====

Ce2NdRuN4: relaxed, PBE.

Calculated values
Uncorrected formation energy, meV/atom: -1037
Calculated total energy, eV per atom: -8.44
Symmetry: Cmcm
ρ, kg/m³: 8014

Cell: 3.4515 6.2151 11.6946 Å, 90.00 90.00 106.12°
Atoms (fractional coordinates):
Ru  0.1476  0.2951  0.2500
Ru  0.8524  0.7049  0.7500
N  0.0000  0.0000  0.0000
N  0.2704  0.5408  0.3761
N  0.4549  0.9097  0.7500
N  0.2704  0.5408  0.1239
N  0.7296  0.4592  0.6239
N  0.0000  0.0000  0.5000
N  0.5451  0.0903  0.2500
N  0.7296  0.4592  0.8761
Ce  0.6312  0.2623  0.0508
Ce  0.3688  0.7377  0.5508
Ce  0.3688  0.7377  0.9492
Ce  0.6312  0.2623  0.4492
Nd  0.1123  0.2245  0.7500
Nd  0.8877  0.7755  0.2500

=====

PmHoZnCu: relaxed, PBE.

Calculated values
Calculated total energy, eV per atom: -3.93
Energy relative to the lowest polymorph listed for this composition, meV per atom: 8
Symmetry: F-43m
Energy of formation from the pure elements, eV per atom: -0.26
ρ, kg/m³: 8077

Cell: 5.0346 5.0346 5.0346 Å, 60.00 60.00 60.00°
Atoms (fractional coordinates):
Zn  0.7500  0.7500  0.7500
Cu  0.2500  0.2500  0.2500
Pm  0.0000  0.0000  0.0000
Ho  0.5000  0.5000  0.5000

=====

ScTl2: relaxed, PBE.

Calculated values
Calculated total energy, eV per atom: -3.82
Symmetry: Fd-3m
Energy of formation from the pure elements, eV per atom: -0.13
ρ, kg/m³: 9557

Cell: 9.6260 9.6260 9.6260 Å, 60.00 60.00 60.00°
Atoms (fractional coordinates):
Tl  0.9405  0.3095  0.8095
Tl  0.6905  0.0595  0.5595
Tl  0.5000  0.5000  0.0000
Tl  0.3095  0.3095  0.4405
Tl  0.0595  0.6905  0.5595
Tl  0.5000  0.5000  0.5000
Tl  0.9405  0.9405  0.8095
Tl  0.0595  0.6905  0.1905
Tl  0.3095  0.9405  0.4405
Tl  0.0595  0.0595  0.1905
Tl  0.6905  0.6905  0.5595
Tl  0.9405  0.3095  0.4405
Tl  0.0000  0.5000  0.0000
Tl  0.6905  0.0595  0.1905
Tl  0.5000  0.0000  0.0000
Tl  0.3095  0.9405  0.8095
Sc  0.2860  0.2860  0.1421
Sc  0.6421  0.2860  0.7860
Sc  0.3579  0.7140  0.2140
Sc  0.7140  0.7140  0.2140
Sc  0.2860  0.2860  0.7860
Sc  0.7140  0.7140  0.8579
Sc  0.7140  0.3579  0.2140
Sc  0.2860  0.6421  0.7860

=====

Mn2ReRu: relaxed, PBE.

Calculated values
Calculated total energy, eV per atom: -9.85
Symmetry: R-3m
Energy of formation from the pure elements, eV per atom: 0.17
ρ, kg/m³: 12697

Cell: 8.6517 8.6517 8.6517 Å, 17.65 17.65 17.65°
Site moments in Bohr magnetons follow the coordinates.
Atoms (fractional coordinates):
Ru  0.7500  0.7500  0.7500  0.02
Mn  0.4990  0.4990  0.4990  0.75
Mn  0.0010  0.0010  0.0010  0.75
Re  0.2500  0.2500  0.2500  -0.16

=====

P2PtClO: relaxed, PBE.

Calculated values
Uncorrected formation energy, meV/atom: 807
Calculated total energy, eV per atom: -3.93
Energy relative to the lowest polymorph listed for this composition, meV per atom: 229
Symmetry: P4/mmm
ρ, kg/m³: 6843

Cell: 4.1755 4.1755 4.2939 Å, 90.00 90.00 90.00°
Atoms (fractional coordinates):
Cl  0.0000  0.0000  0.5000
Pt  0.5000  0.5000  0.5000
P  0.0000  0.5000  0.0000
P  0.5000  0.0000  0.0000
O  0.0000  0.0000  0.0000

=====

HoNiSn2: relaxed, PBE.

Calculated values
Calculated total energy, eV per atom: -5.15
Symmetry: Pnma
Energy of formation from the pure elements, eV per atom: -0.56
ρ, kg/m³: 8768

Cell: 4.4502 14.6107 16.1140 Å, 90.00 90.00 90.00°
Atoms (fractional coordinates):
Sn  0.2500  0.8691  0.1744
Sn  0.7500  0.3967  0.7860
Sn  0.2500  0.3224  0.1841
Sn  0.2500  0.7386  0.4683
Sn  0.2500  0.6309  0.6744
Sn  0.2500  0.8967  0.7140
Sn  0.2500  0.0512  0.9567
Sn  0.7500  0.5791  0.9797
Sn  0.7500  0.1309  0.8256
Sn  0.7500  0.5512  0.5433
Sn  0.7500  0.9209  0.4797
Sn  0.7500  0.1033  0.2860
Sn  0.2500  0.0791  0.5203
Sn  0.7500  0.2386  0.0317
Sn  0.2500  0.7614  0.9683
Sn  0.7500  0.2614  0.5317
Sn  0.2500  0.4488  0.4567
Sn  0.2500  0.4209  0.0203
Sn  0.2500  0.6033  0.2140
Sn  0.7500  0.8224  0.3159
Sn  0.2500  0.1776  0.6841
Sn  0.7500  0.9488  0.0433
Sn  0.7500  0.6776  0.8159
Sn  0.7500  0.3691  0.3256
Ho  0.7500  0.0294  0.6504
Ho  0.7500  0.4706  0.1504
Ho  0.2500  0.2267  0.3724
Ho  0.7500  0.8968  0.8533
Ho  0.2500  0.2733  0.8724
Ho  0.7500  0.6032  0.3533
Ho  0.2500  0.3968  0.6467
Ho  0.7500  0.7267  0.1276
Ho  0.7500  0.7733  0.6276
Ho  0.2500  0.5294  0.8496
Ho  0.2500  0.1032  0.1467
Ho  0.2500  0.9706  0.3496
Ni  0.7500  0.2556  0.6940
Ni  0.2500  0.0465  0.7995
Ni  0.7500  0.5465  0.7005
Ni  0.2500  0.8950  0.5522
Ni  0.2500  0.7556  0.8060
Ni  0.7500  0.2444  0.1940
Ni  0.7500  0.9535  0.2005
Ni  0.7500  0.3950  0.9478
Ni  0.2500  0.7444  0.3060
Ni  0.2500  0.6050  0.0522
Ni  0.7500  0.1050  0.4478
Ni  0.2500  0.4535  0.2995

=====

Hf3TlW: relaxed, PBE.

Calculated values
Calculated total energy, eV per atom: -7.02
Energy relative to the lowest polymorph listed for this composition, meV per atom: 1126
Symmetry: Pm-3m
Energy of formation from the pure elements, eV per atom: 2.02
ρ, kg/m³: 11333

Cell: 5.1342 5.1342 5.1342 Å, 90.00 90.00 90.00°
Atoms (fractional coordinates):
Hf  0.0000  0.5000  0.0000
Hf  0.0000  0.0000  0.5000
Hf  0.5000  0.0000  0.0000
Tl  0.0000  0.0000  0.0000
W  0.5000  0.5000  0.5000

=====

KBe2P: relaxed, PBE.

Calculated values
Calculated total energy, eV per atom: -3.24
Symmetry: I4_1/amd
Energy of formation from the pure elements, eV per atom: 0.25
ρ, kg/m³: 1855

Cell: 4.7196 4.7196 7.8285 Å, 72.46 72.46 90.00°
Atoms (fractional coordinates):
P  0.2500  0.7500  0.5000
P  0.5000  0.5000  0.0000
K  0.0000  0.0000  0.0000
K  0.7500  0.2500  0.5000
Be  0.3750  0.1250  0.2500
Be  0.3750  0.6250  0.2500
Be  0.3750  0.6250  0.7500
Be  0.8750  0.6250  0.7500

=====

YCr2Rh: relaxed, PBE.

Calculated values
Calculated total energy, eV per atom: -7.94
Energy relative to the lowest polymorph listed for this composition, meV per atom: 259
Symmetry: P4/mmm
Energy of formation from the pure elements, eV per atom: 0.32
ρ, kg/m³: 6836

Cell: 3.1354 3.1354 7.3092 Å, 90.00 90.00 90.00°
Site moments in Bohr magnetons follow the coordinates.
Atoms (fractional coordinates):
Rh  0.5000  0.5000  0.2500  0.23
Cr  0.0000  0.0000  0.0533  2.96
Cr  0.0000  0.0000  0.4467  2.96
Y  0.5000  0.5000  0.7500  -0.19

=====

NiC: relaxed, PBE.

Calculated values
Calculated total energy, eV per atom: -7.19
Symmetry: P6_3/mmc
Energy of formation from the pure elements, eV per atom: 0.32
ρ, kg/m³: 4822

Cell: 2.4536 2.4536 18.6788 Å, 90.00 90.00 120.00°
Site moments in Bohr magnetons follow the coordinates.
Atoms (fractional coordinates):
Ni  0.3333  0.6667  0.4467  0.83
Ni  0.6667  0.3333  0.9467  0.83
Ni  0.6667  0.3333  0.5533  0.83
Ni  0.3333  0.6667  0.0533  0.83
C  0.0000  0.0000  0.7500  0.00
C  0.0000  0.0000  0.2500  0.00
C  0.6667  0.3333  0.2500  0.00
C  0.3333  0.6667  0.7500  0.00

=====

MgTe2P: relaxed, PBE.

Calculated values
Uncorrected formation energy, meV/atom: -217
Calculated total energy, eV per atom: -3.54
Energy relative to the lowest polymorph listed for this composition, meV per atom: 0
Symmetry: P4mm
ρ, kg/m³: 5029

Cell: 4.1894 4.1909 5.8397 Å, 90.00 90.00 90.00°
Atoms (fractional coordinates):
Mg  0.0000  0.0000  0.3708
Te  0.0000  0.0000  0.8747
Te  0.5000  0.5000  0.4070
P  0.5000  0.5000  0.8474

=====

InBiPb14: relaxed, PBE.

Calculated values
Calculated total energy, eV per atom: -3.66
Symmetry: Cmmm
Energy of formation from the pure elements, eV per atom: 0.00
ρ, kg/m³: 10637

Cell: 7.1417 7.1417 9.8699 Å, 90.00 90.00 90.06°
Atoms (fractional coordinates):
Pb  0.8750  0.8750  0.0000
Pb  0.8750  0.3750  0.0000
Pb  0.3750  0.8750  0.5000
Pb  0.1260  0.6240  0.7503
Pb  0.6240  0.6240  0.2497
Pb  0.6240  0.1260  0.2497
Pb  0.6240  0.1260  0.7503
Pb  0.3750  0.3750  0.0000
Pb  0.8750  0.3750  0.5000
Pb  0.1260  0.1260  0.7503
Pb  0.3750  0.8750  0.0000
Pb  0.6240  0.6240  0.7503
Pb  0.1260  0.6240  0.2497
Pb  0.1260  0.1260  0.2497
In  0.3750  0.3750  0.5000
Bi  0.8750  0.8750  0.5000

=====

CsPu2I5: relaxed, PBE.

Calculated values
Uncorrected formation energy, meV/atom: -1131
Calculated total energy, eV per atom: -5.79
Symmetry: Immm
ρ, kg/m³: 6153

Cell: 4.8271 8.1953 9.7962 Å, 114.73 104.26 90.00°
Site moments in Bohr magnetons follow the coordinates.
Atoms (fractional coordinates):
Pu  0.8124  0.3124  0.6248  -5.78
Pu  0.1876  0.6876  0.3752  -5.78
Cs  0.0000  0.0000  0.0000  0.00
I  0.3446  0.0826  0.6891  0.04
I  0.3446  0.6065  0.6891  0.04
I  0.6554  0.9174  0.3109  0.04
I  0.0000  0.5000  0.0000  0.03
I  0.6554  0.3935  0.3109  0.04

=====

AcFe2H6: relaxed, PBE.

Calculated values
Calculated total energy, eV per atom: -4.88
Symmetry: P6/mmm
ρ, kg/m³: 6879

Cell: 4.6672 4.5375 4.5375 Å, 120.00 90.00 90.00°
Site moments in Bohr magnetons follow the coordinates.
Atoms (fractional coordinates):
Fe  0.5000  0.6667  0.3333  2.18
Fe  0.5000  0.3333  0.6667  2.18
H  0.2671  0.0000  0.4999  -0.01
H  0.7329  0.0000  0.5001  -0.01
H  0.2671  0.5001  0.5001  -0.01
H  0.2671  0.4999  0.0000  -0.01
H  0.7329  0.5001  0.0000  -0.01
H  0.7329  0.4999  0.4999  -0.01
Ac  0.0000  0.0000  0.0000  0.00

=====

CuSnSbO6: relaxed, PBE.

Calculated values
Uncorrected formation energy, meV/atom: -1139
Calculated total energy, eV per atom: -5.80
Symmetry: P4_2nm
ρ, kg/m³: 6315

Cell: 4.7179 4.7179 9.4506 Å, 90.00 90.00 90.00°
Site moments in Bohr magnetons follow the coordinates.
Atoms (fractional coordinates):
Sn  0.5000  0.5000  0.1677  0.01
Sn  0.0000  0.0000  0.6677  0.01
O  0.8044  0.1956  0.4954  0.11
O  0.6878  0.6878  0.6677  0.15
O  0.1967  0.8033  0.8365  0.14
O  0.3122  0.3122  0.6677  0.15
O  0.1956  0.8044  0.4954  0.11
O  0.8122  0.1878  0.1677  0.15
O  0.3033  0.3033  0.3365  0.14
O  0.6967  0.6967  0.3365  0.14
O  0.1878  0.8122  0.1677  0.15
O  0.6956  0.6956  0.9954  0.11
O  0.3044  0.3044  0.9954  0.11
O  0.8033  0.1967  0.8365  0.14
Sb  0.0000  0.0000  0.3331  0.00
Sb  0.5000  0.5000  0.8331  0.00
Cu  0.5000  0.5000  0.4999  0.82
Cu  0.0000  0.0000  0.9999  0.82

=====

MgZrBr2: relaxed, PBE.

Calculated values
Uncorrected formation energy, meV/atom: -334
Calculated total energy, eV per atom: -3.71
Energy relative to the lowest polymorph listed for this composition, meV per atom: 402
Symmetry: Pmmm
ρ, kg/m³: 4810

Cell: 3.3531 6.1457 4.6126 Å, 90.00 90.00 90.00°
Atoms (fractional coordinates):
Mg  0.5000  0.0000  0.5000
Br  0.5000  0.5000  0.0000
Br  0.0000  0.0000  0.0000
Zr  0.0000  0.5000  0.5000

=====

NaEu2Lu: relaxed, PBE.

Calculated values
Calculated total energy, eV per atom: -6.49
Energy relative to the lowest polymorph listed for this composition, meV per atom: 5
Symmetry: P4/mmm
Energy of formation from the pure elements, eV per atom: 0.11
ρ, kg/m³: 5570

Cell: 3.6722 3.6722 11.0955 Å, 90.00 90.00 90.00°
Site moments in Bohr magnetons follow the coordinates.
Atoms (fractional coordinates):
Eu  0.0000  0.0000  0.7663  7.03
Eu  0.0000  0.0000  0.2337  7.03
Lu  0.5000  0.5000  0.0000  0.44
Na  0.5000  0.5000  0.5000  0.01

=====

Er3Mg4Tl4: relaxed, PBE.

Calculated values
Calculated total energy, eV per atom: -2.89
Symmetry: Immm
Energy of formation from the pure elements, eV per atom: -0.20
ρ, kg/m³: 8506

Cell: 4.6583 7.7000 8.9267 Å, 115.55 105.12 90.00°
Atoms (fractional coordinates):
Er  0.1162  0.1162  0.2324
Er  0.8838  0.8838  0.7676
Er  0.0000  0.5000  0.0000
Tl  0.5000  0.2016  0.0000
Tl  0.2187  0.7187  0.4374
Tl  0.7813  0.2813  0.5626
Tl  0.5000  0.7984  0.0000
Mg  0.6738  0.8691  0.3477
Mg  0.6738  0.4785  0.3477
Mg  0.3262  0.5215  0.6523
Mg  0.3262  0.1309  0.6523